No. 1
TmClO | PBE-GGA | relaxed

Geometry as POSCAR:
```
TmClO
1.0
-3.343 1.170 -1.226
-2.895 -2.378 -0.102
-1.198 1.035 10.027
Tm O Cl
2 2 2
Cartesian
-3.557 1.048 7.882
-3.878 -1.220 0.817
-2.920 0.605 -0.053
-4.515 -0.777 8.752
-2.229 -0.363 2.867
-5.206 0.190 5.831
```

E_tot = -6.911 eV/atom
theoretical density = 6.1 g/cm3
formation energy (no corrections) = -3152 meV/atom

No. 2
Ho2MgF | PBE-GGA | relaxed

Geometry as POSCAR:
```
Ho2MgF
1.0
-2.421 -1.593 1.543
0.259 -0.676 3.202
-5.134 8.111 3.811
Ho Mg F
2 1 1
Cartesian
-3.568 0.557 5.456
-3.728 5.285 3.100
0.000 0.000 0.000
-3.648 2.921 4.278
```

E_tot = -3.976 eV/atom
theoretical density = 6.5 g/cm3
formation energy (no corrections) = -821 meV/atom

No. 3
K2Cl | PBE-GGA | relaxed

Geometry as POSCAR:
```
K2Cl
1.0
-1.143 -1.690 -4.029
2.418 -2.490 2.890
-6.602 -2.851 3.068
K Cl
2 1
Cartesian
-3.784 -4.389 2.914
-1.542 -2.642 -0.986
0.000 0.000 0.000
```

energy relative to the lowest polymorph listed for this composition = 0 meV per atom
E_tot = -2.591 eV/atom
theoretical density = 1.4 g/cm3
formation energy (no corrections) = -1244 meV/atom

No. 4
MnSiPH | PBE-GGA | relaxed

Geometry as POSCAR:
```
MnSiPH
1.0
-4.112 -2.343 -1.436
1.290 -0.658 -2.621
5.809 -3.195 3.662
Si H P Mn
2 2 2 2
Cartesian
0.097 -0.776 0.243
3.647 -2.702 0.763
5.857 -3.451 2.039
2.307 -1.525 1.519
-1.949 -1.650 -0.546
1.600 -3.576 -0.025
3.056 -5.003 1.050
-0.494 -3.077 0.529
```

energy relative to the lowest polymorph listed for this composition = 93 meV per atom
E_tot = -5.861 eV/atom
theoretical density = 4.2 g/cm3

No. 5
LiAsIr3 | PBE-GGA | relaxed

Geometry as POSCAR:
```
LiAsIr3
1.0
4.579 0.000 0.000
0.000 4.579 0.000
0.000 0.000 4.579
As Ir Li
1 3 1
Cartesian
0.000 0.000 0.000
2.289 0.000 0.000
0.000 2.289 0.000
0.000 0.000 2.289
2.289 2.289 2.289
```

energy relative to the lowest polymorph listed for this composition = 0 meV per atom
ΔE_f = 397 kJ/mol of formula units
E_tot = -5.806 eV/atom
theoretical density = 11.4 g/cm3

No. 6
Pu2Cu3Si5 | PBE-GGA | relaxed

Geometry as POSCAR:
```
Pu2Cu3Si5
1.0
-3.898 -2.777 3.211
2.737 -1.149 7.495
-5.682 5.067 2.652
Cu Si Pu
6 10 4
Cartesian
-4.450 2.169 6.804
-2.393 -1.029 6.553
-6.653 4.370 3.456
-4.121 -0.902 9.721
-0.190 -3.230 9.901
-2.722 2.042 3.637
-4.033 3.605 8.561
-6.660 1.547 6.179
-4.718 2.941 4.570
-4.400 -0.121 7.479
-2.810 -2.465 4.796
-0.184 -0.407 7.178
-2.443 1.261 5.878
-4.096 0.824 11.252
-2.747 0.317 2.106
-2.126 -1.801 8.788
-6.223 1.562 9.304
-4.726 -0.218 4.418
-2.117 1.358 8.940
-0.620 -0.422 4.053
```

E_tot = -7.154 eV/atom
theoretical density = 8.5 g/cm3
formation energy (no corrections) = -347 meV/atom

No. 7
SrTe2S2 | PBE-GGA | relaxed

Geometry as POSCAR:
```
SrTe2S2
1.0
-4.834 -5.459 3.974
4.556 -6.244 -3.035
2.723 0.226 3.623
S Te Sr
4 4 2
Cartesian
-2.470 -4.955 2.165
-0.770 -8.730 1.123
2.192 -6.748 -1.227
0.492 -2.973 -0.185
0.874 -2.778 2.358
3.582 -5.414 0.487
1.571 -8.699 2.203
-1.137 -6.063 4.075
0.000 0.000 0.000
-0.139 -5.851 0.469
```

E_tot = -3.840 eV/atom
theoretical density = 4.3 g/cm3
formation energy (no corrections) = -596 meV/atom

No. 8
ScTe2As | PBE-GGA | relaxed

Geometry as POSCAR:
```
ScTe2As
1.0
6.045 0.057 0.000
2.895 5.306 0.000
-4.470 -2.682 3.061
Te Sc As
2 1 1
Cartesian
0.000 0.000 0.000
4.470 2.682 0.000
3.022 0.029 1.530
1.448 2.653 1.530
```

E_tot = -4.528 eV/atom
theoretical density = 6.4 g/cm3
formation energy (no corrections) = -212 meV/atom

No. 9
Al2Fe4Si | PBE-GGA | relaxed

Geometry as POSCAR:
```
Al2Fe4Si
1.0
-0.517 3.099 -3.712
-4.059 -2.616 0.576
0.821 2.446 4.122
Fe Al Si
4 2 1
Cartesian
-0.259 1.549 -1.856
-2.029 -1.308 0.288
0.411 1.223 2.061
-1.877 1.464 0.493
0.152 2.772 0.205
-2.288 0.241 -1.568
0.000 0.000 0.000
```

E_tot = -6.707 eV/atom
theoretical density = 5.7 g/cm3
formation energy (no corrections) = -27 meV/atom

No. 10
Zn6Cu2Au | PBE-GGA | relaxed

Geometry as POSCAR:
```
Zn6Cu2Au
1.0
4.175 0.000 1.276
1.083 5.788 3.925
0.179 1.631 6.884
Zn Au Cu
6 1 2
Cartesian
3.996 4.160 9.334
0.393 2.614 6.184
4.448 6.238 7.855
1.442 3.259 2.751
0.990 1.181 4.230
0.870 4.805 4.625
2.719 3.709 6.042
3.675 6.592 10.385
1.763 0.827 1.700
```

energy relative to the lowest polymorph listed for this composition = 74 meV per atom
ΔE_f = 66 kJ/mol of formula units
E_tot = -2.047 eV/atom
theoretical density = 8.5 g/cm3

No. 11
Ti5VCo2Pt2 | PBE-GGA | relaxed

Geometry as POSCAR:
```
Ti5VCo2Pt2
1.0
3.164 0.000 0.000
0.000 9.705 0.000
0.000 0.000 9.705
Co Ti V Pt
4 10 2 4
Cartesian
0.000 6.090 8.467
0.000 3.615 1.238
0.000 8.467 3.615
0.000 1.238 6.090
1.582 4.113 2.927
1.582 1.925 0.739
1.582 4.852 0.000
1.582 2.927 5.591
1.582 0.000 4.852
1.582 7.780 8.966
1.582 5.591 6.777
1.582 6.777 4.113
1.582 0.739 7.780
1.582 8.966 1.925
0.000 4.852 4.852
0.000 0.000 0.000
0.000 6.505 1.652
0.000 8.052 6.505
0.000 1.652 3.200
0.000 3.200 8.052
```

ΔE_f = -268 kJ/mol of formula units
E_tot = -7.766 eV/atom
theoretical density = 8.9 g/cm3

No. 12
LiSiTc2 | PBE-GGA | relaxed

Geometry as POSCAR:
```
LiSiTc2
1.0
-0.804 -2.866 -2.643
1.200 -1.884 1.678
-3.505 -1.696 2.905
Li Si Tc
1 1 2
Cartesian
-0.906 -2.131 2.587
-2.361 -3.772 1.811
-1.019 -2.464 -0.016
-2.279 -3.448 4.432
```

E_tot = -7.073 eV/atom
theoretical density = 7.4 g/cm3
formation energy (no corrections) = -56 meV/atom

The records above yield total magnetization values of 0.0 0.0 0.0 0.0 0.0 21.8 0.0 0.0 5.5 0.0 0.0 0.0 Bohr magnetons per cell, respectively.